The following is a GGA-PBE calculation of a relaxed structure of TaP2SN, from the Alexandria database.

Cell lengths 4.869, 4.869, 4.733 Å; angles 90.00, 90.00, 90.00 degrees
Element x y z (fractional)
Ta1 0.000 0.000 0.000
P1 0.000 0.500 0.000
P2 0.500 0.000 0.000
S1 0.000 0.000 0.500
N1 0.500 0.500 0.500

Final energy (eV per cell): -29.1
Symmetry: No. 123
D(E_F) (states/eV/cell): 3.46
Formation energy without anion corrections (eV per atom): 1.201
ρ (Mg/m³): 4.28